Al2CuSi2O7F2: relaxed, PBE.

Values from the calculation:
The total DFT energy (no corrections) comes out at -7.024 eV/atom. For the volume, the calculation gives 615.0 Å³/cell. As for the raw formation energy: -2.676 eV/atom. The calculation puts the calculated density at 3.5 g cm⁻³. The calculation puts the size of the total moment at 4.00 μB per cell.

The structure in CIF format:
```
data_Al2CuSi2O7F2
_chemical_formula_sum 'Al8 Cu4 Si8 O28 F8'
_space_group_name_H-M_alt 'P n m a'
_space_group_IT_number 62
_space_group_name_Hall '-P 2ac 2n'
_cell_length_a 8.9694
_cell_length_b 14.2038
_cell_length_c 4.8274
_cell_angle_alpha 90.00
_cell_angle_beta 90.00
_cell_angle_gamma 90.00
loop_
_atom_site_label
_atom_site_type_symbol
_atom_site_fract_x
_atom_site_fract_y
_atom_site_fract_z
Al1 Al 0.1312 0.0500 0.0959
Cu1 Cu 0.1484 0.2500 0.1459
Si1 Si 0.0612 0.6465 0.4042
O1 O 0.0143 0.5589 0.1971
O2 O 0.0257 0.7500 0.2579
O3 O 0.0364 0.1433 0.3077
O4 O 0.2417 0.6463 0.4703
F1 F 0.2456 0.5305 0.8925
```

=====

CsCaPuI6: relaxed, PBE.

Values from the calculation:
The total DFT energy (no corrections) comes out at -4.310 eV/atom. For the volume, the calculation gives 980.3 Å³/cell. As for the raw formation energy: -1.367 eV/atom. The calculation puts the calculated density at 4.0 g cm⁻³. The calculation puts the size of the total moment at 10.00 μB per cell.

The structure in CIF format:
```
data_CsCaPuI6
_chemical_formula_sum 'Cs2 Ca2 Pu2 I12'
_space_group_name_H-M_alt 'P -3 1 c'
_space_group_IT_number 163
_space_group_name_Hall '-P 3 2c'
_cell_length_a 8.1253
_cell_length_b 8.1253
_cell_length_c 17.1449
_cell_angle_alpha 90.00
_cell_angle_beta 90.00
_cell_angle_gamma 120.00
loop_
_atom_site_label
_atom_site_type_symbol
_atom_site_fract_x
_atom_site_fract_y
_atom_site_fract_z
Cs1 Cs 0.0000 0.0000 0.0000
Ca1 Ca 0.3333 0.6667 0.2500
Pu1 Pu 0.3333 0.6667 0.7500
I1 I 0.0032 0.3751 0.6446
```